# KTlC4N4, optimized geometry, DFT GGA-PBE
# ΔE_f (raw) = 3.7 eV/f.u.
# Calculated total energy = -6.995 eV per atom
# Calculated volume = 467.2 Å³ per cell
data_KTlC4N4
_chemical_formula_sum 'K2 Tl2 C8 N8'
_cell_length_a 9.475
_cell_length_b 9.475
_cell_length_c 9.475
_cell_angle_alpha 131.50
_cell_angle_beta 131.50
_cell_angle_gamma 71.02
_space_group_name_H-M_alt 'P 1'
_space_group_IT_number 1
loop_
_space_group_symop_operation_xyz
'x,y,z'
loop_
_atom_site_label
_atom_site_fract_x
_atom_site_fract_y
_atom_site_fract_z
K1 0.375 0.125 0.250
K2 0.625 0.875 0.750
Tl1 0.125 0.375 0.750
Tl2 0.875 0.625 0.250
C1 0.080 0.646 0.805
C2 0.146 0.841 0.567
C3 0.226 0.420 0.067
C4 0.341 0.274 0.695
C5 0.659 0.726 0.305
C6 0.774 0.580 0.933
C7 0.854 0.159 0.433
C8 0.920 0.354 0.195
N1 0.065 0.791 0.838
N2 0.274 0.435 0.227
N3 0.291 0.953 0.727
N4 0.453 0.226 0.662
N5 0.547 0.774 0.338
N6 0.709 0.047 0.273
N7 0.726 0.565 0.773
N8 0.935 0.209 0.162